The following is a DFT calculation (GGA-PBE) of an optimized crystal structure of CoHgPb2.

Summary:
Calculated formation energy   0.277 eV per atom

abc: 9.5360 3.2922 6.7312
angles: 90.00 113.20 90.00
Space group Cm (No. 8)
Unique sites:
Co: 0.0000 0.0000 0.0000
Hg: 0.1341 0.5000 0.3530
Pb: 0.2792 0.0000 0.0081
Pb: 0.4470 0.0000 0.6474

The following is a DFT calculation (GGA-PBE) of an optimized crystal structure of AlPSe.

Summary:
Formation energy without anion corrections   159 meV/atom

abc: 6.1887 6.1887 6.1887
angles: 90.00 90.00 90.00
Space group F-43m (No. 216)
Unique sites:
Al: 0.0000 0.0000 0.0000
P: 0.2500 0.2500 0.7500
Se: 0.2500 0.2500 0.2500

The following is a DFT calculation (GGA-PBE) of an optimized crystal structure of RbBe2BF.

Summary:
Formation energy without anion corrections   -435 meV/atom

abc: 3.6729 3.6729 7.7559
angles: 90.00 90.00 90.00
Space group P4/mmm (No. 123)
Unique sites:
Rb: 0.0000 0.0000 0.0000
Be: 0.0000 0.5000 0.5000
B: 0.0000 0.0000 0.5000
F: 0.5000 0.5000 0.0000